# CsPaPtO4

An optimized crystal structure of CsPaPtO4 (PBE, the Alexandria database).

Computed properties:
- magnetic moment (μB/atom) = 0.000
- final energy (eV per atom) = -7.248
- energy relative to the elements, uncorrected (eV/atom) = -2.07

```
data_CsPaPtO4
_space_group_name_H-M_alt 'I m m a'
_space_group_IT_number 74
_space_group_name_Hall '-I 2b 2'
_cell_length_a 6.240
_cell_length_b 6.953
_cell_length_c 12.280
_cell_angle_alpha 90.00
_cell_angle_beta 90.00
_cell_angle_gamma 90.00
loop_
_atom_site_label
_atom_site_type_symbol
_atom_site_fract_x
_atom_site_fract_y
_atom_site_fract_z
_atom_site_occupancy
Cs1 Cs 0.000 0.250 0.180 1
Pa1 Pa 0.000 0.000 0.500 1
Pt1 Pt 0.250 0.250 0.750 1
O1 O 0.000 0.075 0.686 1
O2 O 0.201 0.250 0.480 1
```

# Cs2PaPtO6

An optimized crystal structure of Cs2PaPtO6 (PBE, the Alexandria database).

Computed properties:
- magnetic moment (μB/atom) = 0.000
- final energy (eV per atom) = -6.507
- energy relative to the elements, uncorrected (eV/atom) = -1.81

```
data_Cs2PaPtO6
_space_group_name_H-M_alt 'F m -3 m'
_space_group_IT_number 225
_space_group_name_Hall '-F 4 2 3'
_cell_length_a 8.539
_cell_length_b 8.539
_cell_length_c 8.539
_cell_angle_alpha 90.00
_cell_angle_beta 90.00
_cell_angle_gamma 90.00
loop_
_atom_site_label
_atom_site_type_symbol
_atom_site_fract_x
_atom_site_fract_y
_atom_site_fract_z
_atom_site_occupancy
Cs1 Cs 0.250 0.250 0.250 1
Pa1 Pa 0.000 0.000 0.000 1
Pt1 Pt 0.000 0.000 0.500 1
O1 O 0.000 0.000 0.258 1
```

# Cs4Pu3PaO12

An optimized crystal structure of Cs4Pu3PaO12 (PBE, the Alexandria database).

Computed properties:
- magnetic moment (μB/atom) = 0.450
- final energy (eV per atom) = -8.360
- energy relative to the elements, uncorrected (eV/atom) = -2.59

```
data_Cs4Pu3PaO12
_space_group_name_H-M_alt 'I m -3 m'
_space_group_IT_number 229
_space_group_name_Hall '-I 4 2 3'
_cell_length_a 8.800
_cell_length_b 8.800
_cell_length_c 8.800
_cell_angle_alpha 90.00
_cell_angle_beta 90.00
_cell_angle_gamma 90.00
loop_
_atom_site_label
_atom_site_type_symbol
_atom_site_fract_x
_atom_site_fract_y
_atom_site_fract_z
_atom_site_occupancy
Cs1 Cs 0.250 0.250 0.250 1
Pu1 Pu 0.000 0.000 0.500 1
Pa1 Pa 0.000 0.000 0.000 1
O1 O 0.000 0.000 0.252 1
O2 O 0.000 0.250 0.500 1
```

What is the formula in the first record? CsPaPtO4

Number 1 is which compound? CsPaPtO4

Among the records above, which one has the highest final energy? Cs2PaPtO6